DFT (PBE) results for an optimized crystal structure of TmPbAuS3.

Properties
- Distance to the lowest polymorph of the same formula: 6 meV per atom

Unit cell a=10.3182 b=4.0634 c=14.4071 alpha=90.00 beta=90.00 gamma=90.00
Last column: nearest neighbours and their distance in Å.
Space group Pnma (No. 62)
Asymmetric unit:
Tm 0.0272 0.2500 0.2448 x4  6 S 2.71-2.73
Pb 0.2382 0.2500 0.9435 x4  4 S 2.81-3.09
Au 0.2257 0.2500 0.6115 x4  2 S 2.33-2.34
S 0.0017 0.2500 0.6298 x4  1 Au 2.33
S 0.0479 0.7500 0.1188 x4  1 Au 2.34
S 0.2258 0.7500 0.8087 x4  2 Tm 2.71-2.72, 2 Pb 2.81


DFT (PBE) results for an optimized crystal structure of PrSmSi2Os2.

Properties
- Raw total energy: -7.76 eV per atom

Unit cell a=4.2026 b=4.2026 c=7.0020 alpha=90.00 beta=90.00 gamma=90.00
Last column: nearest neighbours and their distance in Å.
Space group P4mm (No. 99)
Asymmetric unit:
Pr 0.0000 0.0000 0.0000 x1  4 Os 3.13, 5 Si 3.16-3.43
Sm 0.5000 0.5000 0.6486 x1  4 Os 3.06, 4 Si 3.13
Si 0.0000 0.0000 0.5098 x1  4 Os 2.45
Si 0.5000 0.5000 0.1521 x1  4 Os 2.45
Os 0.0000 0.5000 0.3309 x2  4 Si 2.45


DFT (PBE) results for an optimized crystal structure of Ta4Sn2CN.

Properties
- Raw total energy: -9.49 eV per atom

Unit cell a=3.2619 b=3.2619 c=13.7011 alpha=90.00 beta=90.00 gamma=120.00
Last column: nearest neighbours and their distance in Å.
Space group P-3m1 (No. 164)
Asymmetric unit:
Ta 0.3333 0.6667 0.0832 x2  3 C 2.20
Ta 0.3333 0.6667 0.4199 x2  3 N 2.18
Sn 0.3333 0.6667 0.7479 x2  6 Ta 2.97-2.98, 6 Sn 3.26
C 0.0000 0.0000 0.0000 x1  6 Ta 2.20
N 0.0000 0.0000 0.5000 x1  6 Ta 2.18


DFT (PBE) results for an optimized crystal structure of NbAgAsO.

Properties
- Distance to the lowest polymorph of the same formula: 444 meV per atom

Unit cell a=4.9832 b=4.9832 c=4.9249 alpha=90.00 beta=90.00 gamma=90.00
Last column: nearest neighbours and their distance in Å.
Space group P4/nmm (No. 129, origin choice 2)
Asymmetric unit:
Nb 0.2500 0.7500 0.0000 x2  2 O 2.46, 4 As 2.60
Ag 0.2500 0.2500 0.3521 x2  2 As 2.45-2.47, 4 O 2.60
As 0.2500 0.2500 0.8497 x2  2 Ag 2.45-2.47, 4 Nb 2.60
O 0.2500 0.7500 0.5000 x2  2 Nb 2.46, 4 Ag 2.60


DFT (PBE) results for an optimized crystal structure of GdInHgTe3.

Properties
- Distance to the lowest polymorph of the same formula: 48 meV per atom

Unit cell a=13.0099 b=4.5706 c=13.2710 alpha=90.00 beta=90.00 gamma=90.00
Last column: nearest neighbours and their distance in Å.
Space group Pnma (No. 62)
Asymmetric unit:
Gd 0.0337 0.2500 0.1820 x4  6 Te 3.08-3.34
In 0.1702 0.2500 0.4959 x4  5 Te 3.31-3.52, 2 Hg 3.54
Hg 0.2446 0.7500 0.3052 x4  4 Te 2.82-2.92
Te 0.0290 0.7500 0.3490 x4  1 Hg 2.87, 2 Gd 3.18
Te 0.0840 0.2500 0.9352 x4  1 Hg 2.82
Te 0.2298 0.7500 0.6702 x4  2 Hg 2.92, 1 Gd 3.08


DFT (PBE) results for an optimized crystal structure of Ba2CdSn.

Properties
- Raw total energy: -2.38 eV per atom

Unit cell a=8.3236 b=8.3236 c=8.3236 alpha=90.00 beta=90.00 gamma=90.00
Last column: nearest neighbours and their distance in Å.
Space group F-43m (No. 216)
Asymmetric unit:
Ba 0.0000 0.0000 0.0000 x4  4 Ba 3.60, 4 Sn 3.60
Ba 0.2500 0.2500 0.2500 x4  4 Cd 3.60, 4 Ba 3.60
Cd 0.0000 0.0000 0.5000 x4  4 Ba 3.60, 4 Sn 3.60
Sn 0.2500 0.2500 0.7500 x4  4 Cd 3.60, 4 Ba 3.60


DFT (PBE) results for an optimized crystal structure of LaNiBN.

Properties
- Raw total energy: -7.34 eV per atom

Unit cell a=3.7403 b=3.7403 c=7.4136 alpha=90.00 beta=90.00 gamma=90.00
Last column: nearest neighbours and their distance in Å.
Space group P4/nmm (No. 129, origin choice 2)
Asymmetric unit:
La 0.2500 0.2500 0.1766 x2  5 N 2.52-2.65
Ni 0.2500 0.7500 0.5000 x2  4 B 2.15
B 0.2500 0.2500 0.6421 x2  1 N 1.45
N 0.2500 0.2500 0.8372 x2  1 B 1.45


DFT (PBE) results for an optimized crystal structure of LiSmIr.

Properties
- Distance to the lowest polymorph of the same formula: 346 meV per atom

Unit cell a=6.5240 b=6.5240 c=6.5240 alpha=90.00 beta=90.00 gamma=90.00
Last column: nearest neighbours and their distance in Å.
Space group F-43m (No. 216)
Asymmetric unit:
Li 0.0000 0.0000 0.0000 x4  4 Sm 2.82
Sm 0.2500 0.2500 0.7500 x4  4 Ir 2.82, 4 Li 2.82
Ir 0.0000 0.0000 0.5000 x4  4 Sm 2.82


Repeat the second record exactly.
DFT (PBE) results for an optimized crystal structure of PrSmSi2Os2.

Properties
- Raw total energy: -7.76 eV per atom

Unit cell a=4.2026 b=4.2026 c=7.0020 alpha=90.00 beta=90.00 gamma=90.00
Last column: nearest neighbours and their distance in Å.
Space group P4mm (No. 99)
Asymmetric unit:
Pr 0.0000 0.0000 0.0000 x1  4 Os 3.13, 5 Si 3.16-3.43
Sm 0.5000 0.5000 0.6486 x1  4 Os 3.06, 4 Si 3.13
Si 0.0000 0.0000 0.5098 x1  4 Os 2.45
Si 0.5000 0.5000 0.1521 x1  4 Os 2.45
Os 0.0000 0.5000 0.3309 x2  4 Si 2.45